PbO2F2 after structural relaxation. Source: the Alexandria database, functional PBE.

**Energy**: -3.9998 eV per atom
**Raw formation energy**: -50.8 kJ per mole of atoms

a b c (Å): 4.465 4.465 4.113
angles (deg): 90.00 90.00 90.00
Positions (direct):
1 O 0.000 0.000 0.500
2 O 0.500 0.500 0.500
3 Pb 0.000 0.000 0.000
4 F 0.000 0.500 0.000
5 F 0.500 0.000 0.000

***

Pb2OF after structural relaxation. Source: the Alexandria database, functional PBE.

**Energy**: -4.4980 eV per atom
**Raw formation energy**: -90.4 kJ per mole of atoms

a b c (Å): 4.669 4.669 4.669
angles (deg): 60.00 60.00 60.00
Positions (direct):
1 O 0.000 0.000 0.000
2 Pb 0.750 0.750 0.750
3 Pb 0.250 0.250 0.250
4 F 0.500 0.500 0.500

***

PbOF2 after structural relaxation. Source: the Alexandria database, functional PBE.

**Energy**: -4.0694 eV per atom
**Raw formation energy**: -93.3 kJ per mole of atoms

a b c (Å): 3.732 3.732 8.354
angles (deg): 77.09 77.09 90.00
Positions (direct):
1 O 0.250 0.750 0.500
2 O 0.500 0.500 0.000
3 F 0.108 0.625 0.250
4 F 0.375 0.358 0.750
5 F 0.875 0.892 0.750
6 F 0.642 0.125 0.250
7 Pb 0.750 0.250 0.500
8 Pb 0.000 0.000 0.000

***

PbOF3 after structural relaxation. Source: the Alexandria database, functional PBE.

**Energy**: -3.6073 eV per atom
**Raw formation energy**: -72.5 kJ per mole of atoms

a b c (Å): 4.041 4.041 4.041
angles (deg): 90.00 90.00 90.00
Positions (direct):
1 Pb 0.500 0.500 0.500
2 F 0.000 0.500 0.000
3 F 0.000 0.000 0.500
4 F 0.500 0.000 0.000
5 O 0.000 0.000 0.000

***

Pb2OF after structural relaxation. Source: the Alexandria database, functional PBE.

**Energy**: -4.8862 eV per atom
**Raw formation energy**: -127.8 kJ per mole of atoms

a b c (Å): 5.660 6.495 10.525
angles (deg): 103.29 100.29 107.01
Positions (direct):
1 Pb 0.282 0.590 0.620
2 Pb 0.162 0.969 0.380
3 Pb 0.520 0.851 0.131
4 Pb 0.838 0.031 0.620
5 Pb 0.718 0.410 0.380
6 Pb 0.480 0.149 0.869
7 Pb 0.112 0.280 0.131
8 Pb 0.888 0.720 0.869
9 O 0.259 0.009 0.017
10 O 0.113 0.863 0.727
11 O 0.887 0.137 0.273
12 O 0.741 0.991 0.983
13 F 0.534 0.284 0.567
14 F 0.145 0.395 0.790
15 F 0.466 0.716 0.433
16 F 0.855 0.605 0.210

***

Pb2O2F after structural relaxation. Source: the Alexandria database, functional PBE.

**Energy**: -5.0964 eV per atom
**Raw formation energy**: -121.1 kJ per mole of atoms

a b c (Å): 3.927 3.927 6.280
angles (deg): 71.78 71.78 90.00
Positions (direct):
1 F 0.000 0.000 0.000
2 O 0.250 0.750 0.500
3 O 0.750 0.250 0.500
4 Pb 0.640 0.640 0.719
5 Pb 0.360 0.360 0.281

***

PbOF3 after structural relaxation. Source: the Alexandria database, functional PBE.

**Energy**: -3.8656 eV per atom
**Raw formation energy**: -97.4 kJ per mole of atoms

a b c (Å): 4.487 4.487 4.487
angles (deg): 90.00 90.00 90.00
Positions (direct):
1 F 0.000 0.000 0.500
2 F 0.500 0.000 0.000
3 F 0.000 0.500 0.000
4 Pb 0.000 0.000 0.000
5 O 0.500 0.500 0.500

***

PbO2F2 after structural relaxation. Source: the Alexandria database, functional PBE.

**Energy**: -4.8362 eV per atom
**Raw formation energy**: -131.5 kJ per mole of atoms

a b c (Å): 6.392 7.661 4.079
angles (deg): 94.52 89.42 67.93
Positions (direct):
1 F 0.917 0.657 0.275
2 F 0.390 0.444 0.239
3 F 0.610 0.556 0.761
4 F 0.083 0.343 0.725
5 O 0.332 0.914 0.400
6 O 0.668 0.086 0.600
7 O 0.747 0.010 0.851
8 O 0.253 0.990 0.149
9 Pb 0.804 0.407 0.238
10 Pb 0.196 0.593 0.762

***

Pb2O2F after structural relaxation. Source: the Alexandria database, functional PBE.

**Energy**: -5.0169 eV per atom
**Raw formation energy**: -113.5 kJ per mole of atoms

a b c (Å): 6.914 6.914 3.362
angles (deg): 90.00 90.00 90.00
Positions (direct):
1 F 0.500 0.500 0.000
2 F 0.000 0.000 0.000
3 Pb 0.678 0.178 0.000
4 Pb 0.822 0.678 0.000
5 Pb 0.178 0.322 0.000
6 Pb 0.322 0.822 0.000
7 O 0.154 0.654 0.500
8 O 0.346 0.154 0.500
9 O 0.654 0.846 0.500
10 O 0.846 0.346 0.500

***

PbOF2 after structural relaxation. Source: the Alexandria database, functional PBE.

**Energy**: -4.1019 eV per atom
**Raw formation energy**: -96.4 kJ per mole of atoms

a b c (Å): 4.294 4.294 4.294
angles (deg): 60.00 60.00 60.00
Positions (direct):
1 O 0.000 0.000 0.000
2 F 0.750 0.750 0.750
3 F 0.250 0.250 0.250
4 Pb 0.500 0.500 0.500

***

Pb3O3F after structural relaxation. Source: the Alexandria database, functional PBE.

**Energy**: -5.2033 eV per atom
**Raw formation energy**: -117.9 kJ per mole of atoms

a b c (Å): 6.944 6.944 7.526
angles (deg): 62.52 62.52 60.00
Positions (direct):
1 O 0.530 0.222 0.366
2 O 0.470 0.778 0.634
3 O 0.119 0.470 0.634
4 O 0.778 0.119 0.634
5 O 0.881 0.530 0.366
6 O 0.222 0.881 0.366
7 Pb 0.910 0.250 0.264
8 Pb 0.090 0.750 0.736
9 Pb 0.250 0.576 0.264
10 Pb 0.576 0.910 0.264
11 Pb 0.750 0.424 0.736
12 Pb 0.424 0.090 0.736
13 F 0.337 0.337 0.990
14 F 0.663 0.663 0.010

***

PbO2F3 after structural relaxation. Source: the Alexandria database, functional PBE.

**Energy**: -3.7554 eV per atom
**Raw formation energy**: -53.0 kJ per mole of atoms

a b c (Å): 6.627 6.627 4.976
angles (deg): 87.51 87.51 55.94
Positions (direct):
1 F 0.332 0.668 0.750
2 F 0.889 0.889 0.513
3 F 0.889 0.889 0.013
4 F 0.668 0.332 0.250
5 F 0.111 0.111 0.987
6 F 0.111 0.111 0.487
7 O 0.415 0.307 0.767
8 O 0.307 0.415 0.267
9 O 0.585 0.693 0.233
10 O 0.693 0.585 0.733
11 Pb 0.792 0.208 0.750
12 Pb 0.208 0.792 0.250

***

- The lowest raw formation energy belongs to which entry?
  number 8